Density functional theory data (GGA-PBE) for a relaxed structure of Ba2AuO4.

Calculated values
Final energy, eV for the cell shown: -68.362
Space-group type: Fd-3m, No. 227

Cell lengths 7.293, 7.293, 7.293 Å; angles 119.99, 90.02, 119.99 degrees
Sites, in units of the cell vectors:
Au  0.000  0.000  0.000
Au  0.750  0.500  0.250
Ba  0.375  0.750  0.125
Ba  0.375  0.750  0.625
Ba  0.875  0.250  0.625
Ba  0.375  0.250  0.625
O  0.118  0.236  0.355
O  0.632  0.264  0.368
O  0.105  0.736  0.368
O  0.632  0.736  0.368
O  0.118  0.764  0.882
O  0.118  0.236  0.882
O  0.645  0.764  0.882
O  0.632  0.264  0.895